VASP calculation (GGA+U) on an optimized crystal structure of Ag3WF.

Summary:
E_tot ... -2.327 eV/atom

Unit cell a=5.4414 b=5.4414 c=5.4414 alpha=90.00 beta=90.00 gamma=90.00
Closest atoms and distances in Å follow each position.
Space group Pm-3m (No. 221)
Symmetry-distinct sites (fractional):
Ag: 0.0000 0.0000 0.5000 [3 per cell]  2 W 2.72
W: 0.0000 0.0000 0.0000 [1 per cell]  6 Ag 2.72
F: 0.5000 0.5000 0.5000 [1 per cell]  12 Ag 3.85